1.
Computed, not measured: LaTl2Tc after structural relaxation at the PBEsol level of DFT.

a = 3.239 Å, b = 5.846 Å, c = 5.835 Å
α = 59.94°, β = 82.77°, γ = 75.44°
Site moments in Bohr magnetons follow the coordinates.
Positions (direct):
Tl1 0.000 0.500 0.500  -0.01
Tl2 0.000 0.000 0.500  -0.01
La1 0.500 0.500 0.000  -0.06
Tc1 0.500 0.000 0.000  0.88

## Properties
For the electronic total energy, the calculation gives -5.027 eV/atom. As for the calculated formation energy: 442 meV per atom. For the distance to the lowest polymorph of the same formula, the calculation gives 229 meV per atom.



2.
Computed, not measured: La3TlTc after structural relaxation at the PBEsol level of DFT.

a = 5.359 Å, b = 5.359 Å, c = 5.359 Å
α = 90.00°, β = 90.00°, γ = 90.00°
Positions (direct):
Tc1 0.000 0.000 0.000
La1 0.000 0.000 0.500
La2 0.500 0.000 0.000
La3 0.000 0.500 0.000
Tl1 0.500 0.500 0.500

## Properties
For the electronic total energy, the calculation gives -6.083 eV/atom. As for the calculated formation energy: -96 meV per atom.



3.
Computed, not measured: LaTc2W after structural relaxation at the PBEsol level of DFT.

a = 2.844 Å, b = 2.844 Å, c = 10.094 Å
α = 81.90°, β = 81.90°, γ = 60.00°
Positions (direct):
La1 0.252 0.252 0.245
W1 0.489 0.489 0.534
Tc1 0.747 0.747 0.760
Tc2 0.013 0.013 0.961

## Properties
For the electronic total energy, the calculation gives -9.855 eV/atom. As for the calculated formation energy: 566 meV per atom.



4.
Computed, not measured: LaTc2W after structural relaxation at the PBEsol level of DFT.

a = 2.859 Å, b = 5.273 Å, c = 5.273 Å
α = 110.11°, β = 102.74°, γ = 102.74°
Positions (direct):
La1 0.500 0.000 0.000
Tc1 0.000 0.500 0.000
Tc2 0.000 0.000 0.500
W1 0.500 0.500 0.500

## Properties
For the electronic total energy, the calculation gives -9.827 eV/atom. As for the calculated formation energy: 595 meV per atom.



5.
Computed, not measured: La2TcW after structural relaxation at the PBEsol level of DFT.

a = 3.281 Å, b = 5.159 Å, c = 5.710 Å
α = 116.86°, β = 106.70°, γ = 90.00°
Positions (direct):
W1 0.500 0.000 0.000
La1 0.739 0.739 0.479
La2 0.261 0.261 0.521
Tc1 0.000 0.500 0.000

## Properties
For the electronic total energy, the calculation gives -8.229 eV/atom. As for the calculated formation energy: 713 meV per atom.



6.
Computed, not measured: LaTc2W after structural relaxation at the PBEsol level of DFT.

a = 3.122 Å, b = 4.377 Å, c = 6.067 Å
α = 99.53°, β = 90.00°, γ = 110.89°
Positions (direct):
Tc1 0.768 0.537 0.816
Tc2 0.232 0.463 0.184
La1 0.000 0.000 0.500
W1 0.500 0.000 0.000

## Properties
For the electronic total energy, the calculation gives -9.976 eV/atom. As for the calculated formation energy: 446 meV per atom.



7.
Computed, not measured: LaTcW2 after structural relaxation at the PBEsol level of DFT.

a = 3.791 Å, b = 3.791 Å, c = 5.094 Å
α = 90.00°, β = 90.00°, γ = 90.00°
Positions (direct):
W1 0.500 0.000 0.000
W2 0.000 0.500 0.000
Tc1 0.000 0.000 0.500
La1 0.500 0.500 0.500

## Properties
For the electronic total energy, the calculation gives -10.167 eV/atom. As for the calculated formation energy: 890 meV per atom.



8.
Computed, not measured: LaTc2W after structural relaxation at the PBEsol level of DFT.

a = 3.137 Å, b = 3.137 Å, c = 7.319 Å
α = 90.00°, β = 90.00°, γ = 90.00°
Positions (direct):
La1 0.500 0.500 0.500
Tc1 0.000 0.000 0.801
Tc2 0.000 0.000 0.199
W1 0.500 0.500 0.000

## Properties
For the electronic total energy, the calculation gives -10.189 eV/atom. As for the calculated formation energy: 233 meV per atom.



9.
Computed, not measured: LaY2Tc after structural relaxation at the PBEsol level of DFT.

a = 3.406 Å, b = 3.406 Å, c = 9.195 Å
α = 90.00°, β = 90.00°, γ = 90.22°
Positions (direct):
Tc1 0.500 0.500 0.000
Y1 0.000 0.000 0.822
Y2 0.000 0.000 0.178
La1 0.500 0.500 0.500

## Properties
For the electronic total energy, the calculation gives -7.495 eV/atom. As for the calculated formation energy: 69 meV per atom. For the distance to the lowest polymorph of the same formula, the calculation gives 0 meV per atom.



10.
Computed, not measured: LaYTc after structural relaxation at the PBEsol level of DFT.

a = 4.675 Å, b = 4.675 Å, c = 4.675 Å
α = 60.00°, β = 60.00°, γ = 60.00°
Positions (direct):
Tc1 0.000 0.000 0.000
Y1 0.500 0.500 0.500
La1 0.250 0.250 0.250

## Properties
For the electronic total energy, the calculation gives -6.827 eV/atom. As for the calculated formation energy: 984 meV per atom. For the distance to the lowest polymorph of the same formula, the calculation gives 789 meV per atom.



11.
Computed, not measured: LaY2Tc after structural relaxation at the PBEsol level of DFT.

a = 3.596 Å, b = 5.308 Å, c = 6.402 Å
α = 114.49°, β = 106.31°, γ = 90.00°
Positions (direct):
Tc1 0.500 0.000 0.000
La1 0.000 0.500 0.000
Y1 0.197 0.197 0.394
Y2 0.803 0.803 0.606

## Properties
For the electronic total energy, the calculation gives -7.435 eV/atom. As for the calculated formation energy: 130 meV per atom. For the distance to the lowest polymorph of the same formula, the calculation gives 60 meV per atom.



12.
Computed, not measured: LaYTc after structural relaxation at the PBEsol level of DFT.

a = 3.577 Å, b = 4.717 Å, c = 4.717 Å
α = 120.00°, β = 90.00°, γ = 90.00°
Positions (direct):
Tc1 0.704 0.333 0.667
La1 0.920 0.000 0.000
Y1 0.376 0.667 0.333

## Properties
For the electronic total energy, the calculation gives -7.616 eV/atom. As for the calculated formation energy: 196 meV per atom. For the distance to the lowest polymorph of the same formula, the calculation gives 0 meV per atom.



13.
Computed, not measured: La4YTc after structural relaxation at the PBEsol level of DFT.

a = 6.212 Å, b = 6.212 Å, c = 6.212 Å
α = 60.00°, β = 60.00°, γ = 60.00°
Positions (direct):
La1 0.377 0.377 0.377
La2 0.870 0.377 0.377
La3 0.377 0.870 0.377
La4 0.377 0.377 0.870
Tc1 0.750 0.750 0.750
Y1 0.000 0.000 0.000

## Properties
For the electronic total energy, the calculation gives -5.811 eV/atom. As for the calculated formation energy: 768 meV per atom.



14.
Computed, not measured: La2Y2Tc after structural relaxation at the PBEsol level of DFT.

a = 3.954 Å, b = 3.954 Å, c = 10.127 Å
α = 101.26°, β = 101.26°, γ = 90.00°
Positions (direct):
Y1 0.250 0.750 0.500
Y2 0.750 0.250 0.500
Tc1 0.000 0.000 0.000
La1 0.579 0.579 0.158
La2 0.421 0.421 0.842

## Properties
For the electronic total energy, the calculation gives -6.316 eV/atom. As for the calculated formation energy: 805 meV per atom.



15.
Computed, not measured: La3YTc after structural relaxation at the PBEsol level of DFT.

a = 5.452 Å, b = 5.452 Å, c = 5.452 Å
α = 90.00°, β = 90.00°, γ = 90.00°
Positions (direct):
La1 0.000 0.500 0.000
La2 0.500 0.000 0.000
La3 0.000 0.000 0.500
Y1 0.500 0.500 0.500
Tc1 0.000 0.000 0.000

## Properties
For the electronic total energy, the calculation gives -6.672 eV/atom. As for the calculated formation energy: 154 meV per atom.



16.
Computed, not measured: LaZnTc3 after structural relaxation at the PBEsol level of DFT.

a = 4.672 Å, b = 4.672 Å, c = 4.672 Å
α = 90.00°, β = 90.00°, γ = 90.00°
Site moments in Bohr magnetons follow the coordinates.
Positions (direct):
Tc1 0.500 0.000 0.000  0.64
Tc2 0.000 0.500 0.000  0.64
Tc3 0.000 0.000 0.500  0.64
Zn1 0.500 0.500 0.500  -0.03
La1 0.000 0.000 0.000  -0.03

## Properties
For the electronic total energy, the calculation gives -5.892 eV/atom. As for the calculated formation energy: 2254 meV per atom.



17.
Computed, not measured: LaZr2Tc after structural relaxation at the PBEsol level of DFT.

a = 3.289 Å, b = 3.289 Å, c = 8.187 Å
α = 90.00°, β = 90.00°, γ = 90.00°
Positions (direct):
Zr1 0.000 0.000 0.688
Zr2 0.000 0.000 0.312
La1 0.500 0.500 0.000
Tc1 0.500 0.500 0.500

## Properties
For the electronic total energy, the calculation gives -8.802 eV/atom. As for the calculated formation energy: -104 meV per atom. For the distance to the lowest polymorph of the same formula, the calculation gives 0 meV per atom.



18.
Computed, not measured: La2ZrTc after structural relaxation at the PBEsol level of DFT.

a = 4.150 Å, b = 4.150 Å, c = 5.306 Å
α = 90.00°, β = 90.00°, γ = 90.00°
Positions (direct):
Tc1 0.500 0.500 0.500
La1 0.500 0.000 0.000
La2 0.000 0.500 0.000
Zr1 0.000 0.000 0.500

## Properties
For the electronic total energy, the calculation gives -7.391 eV/atom. As for the calculated formation energy: 371 meV per atom.



19.
Computed, not measured: LaZr2Tc after structural relaxation at the PBEsol level of DFT.

a = 3.429 Å, b = 5.082 Å, c = 5.810 Å
α = 114.06°, β = 107.16°, γ = 90.00°
Positions (direct):
La1 0.532 0.517 0.063
Zr1 0.958 0.944 0.916
Zr2 0.751 0.240 0.502
Tc1 0.260 0.800 0.519

## Properties
For the electronic total energy, the calculation gives -8.645 eV/atom. As for the calculated formation energy: 53 meV per atom. For the distance to the lowest polymorph of the same formula, the calculation gives 157 meV per atom.



20.
Computed, not measured: LaZr2Tc after structural relaxation at the PBEsol level of DFT.

a = 4.832 Å, b = 4.867 Å, c = 4.832 Å
α = 119.76°, β = 90.00°, γ = 119.76°
Positions (direct):
Tc1 0.000 0.000 0.000
Zr1 0.250 0.500 0.750
Zr2 0.750 0.500 0.250
La1 0.500 0.000 0.500

## Properties
For the electronic total energy, the calculation gives -8.558 eV/atom. As for the calculated formation energy: 140 meV per atom. For the distance to the lowest polymorph of the same formula, the calculation gives 245 meV per atom.